# 1
# PmInBiPb

A relaxed PmInBiPb crystal (PBE-GGA, Alexandria via LeMat-Bulk).

Properties
Space group ... F-43m
Formation energy ... -219 meV/atom
E ... -15.95 eV per cell

Lattice parameters (Å, degrees): 5.587 5.587 5.587 60.00 60.00 60.00
Positions (direct):
Bi 0.750 0.750 0.750
Pm 0.500 0.500 0.500
Pb 0.000 0.000 0.000
In 0.250 0.250 0.250



# 2
# In2BiPtPb

A relaxed In2BiPtPb crystal (PBE-GGA, Alexandria via LeMat-Bulk).

Properties
Space group ... P4/mmm
Formation energy ... -58 meV/atom
E ... -19.40 eV per cell

Lattice parameters (Å, degrees): 5.194 5.194 5.586 90.00 90.00 90.00
Positions (direct):
Pb 0.000 0.000 0.500
In 0.500 0.000 0.000
In 0.000 0.500 0.000
Bi 0.500 0.500 0.500
Pt 0.000 0.000 0.000



# 3
# Rb2In3BiPb4

A relaxed Rb2In3BiPb4 crystal (PBE-GGA, Alexandria via LeMat-Bulk).

Properties
Space group ... P-4m2
Formation energy ... -102 meV/atom
E ... -29.88 eV per cell

Lattice parameters (Å, degrees): 5.383 5.383 12.815 90.00 90.00 90.00
Positions (direct):
Bi 0.500 0.500 0.500
Pb 0.500 0.000 0.632
Pb 0.000 0.500 0.368
Pb 0.500 0.500 0.000
Pb 0.000 0.000 0.000
In 0.000 0.500 0.126
In 0.000 0.000 0.500
In 0.500 0.000 0.874
Rb 0.000 0.500 0.750
Rb 0.500 0.000 0.250